A relaxed Cs2U3PtO12 crystal. Source: the Alexandria database, functional GGA-PBE.

As for the uncorrected formation energy: -2.5263 eV/atom. For the magnetic moment, the calculation gives 0.00 μB per formula unit. The uncorrected energy is -8.144 eV per atom.

The structure in CIF format:
```
data_Cs2U3PtO12
_symmetry_space_group_name_H-M 'R -3 m'
_symmetry_Int_Tables_number 166
_symmetry_space_group_name_Hall '-R 3 2"'
_cell_length_a 7.9384
_cell_length_b 7.9384
_cell_length_c 18.3104
_cell_angle_alpha 90.00
_cell_angle_beta 90.00
_cell_angle_gamma 120.00
loop_
_atom_site_label
_atom_site_type_symbol
_atom_site_fract_x
_atom_site_fract_y
_atom_site_fract_z
Cs1 Cs 0.0000 0.0000 0.1282
U1 U 0.0000 0.5000 0.0000
Pt1 Pt 0.0000 0.0000 0.5000
O1 O 0.0806 0.5403 0.3601
O2 O 0.0923 0.5461 0.1046
```